{
  "formula": "K12Se3O5",
  "functional": "PBE",
  "state": "relaxed",
  "lattice_angstrom": [[-8.5812, 8.5812, 8.5812], [8.5812, -8.5812, 8.5812], [8.5812, 8.5812, -8.5812]],
  "species": ["K", "K", "K", "K", "K", "K", "K", "K", "K", "K", "K", "K", "K", "K", "K", "K", "K", "K", "K", "K", "K", "K", "K", "K", "K", "K", "K", "K", "K", "K", "K", "K", "K", "K", "K", "K", "K", "K", "K", "K", "K", "K", "K", "K", "K", "K", "K", "K", "Se", "Se", "Se", "Se", "Se", "Se", "Se", "Se", "Se", "Se", "Se", "Se", "O", "O", "O", "O", "O", "O", "O", "O", "O", "O", "O", "O", "O", "O", "O", "O", "O", "O", "O", "O"],
  "frac_coords": [[0.0243, 0.2008, 0.1160], [0.0243, 0.3235, 0.9083], [0.0848, 0.7008, 0.6765], [0.0848, 0.8840, 0.4083], [0.0917, 0.6160, 0.4152], [0.0917, 0.9757, 0.6765], [0.1160, 0.0243, 0.2008], [0.1160, 0.5917, 0.9152], [0.1765, 0.2008, 0.5848], [0.1765, 0.4757, 0.5917], [0.2008, 0.1160, 0.0243], [0.2008, 0.5848, 0.1765], [0.2992, 0.3235, 0.9152], [0.2992, 0.4757, 0.3840], [0.3235, 0.9083, 0.0243], [0.3235, 0.9152, 0.2992], [0.3840, 0.2992, 0.4757], [0.3840, 0.5848, 0.9083], [0.4083, 0.0848, 0.8840], [0.4083, 0.8235, 0.5243], [0.4152, 0.0917, 0.6160], [0.4152, 0.8235, 0.7992], [0.4757, 0.3840, 0.2992], [0.4757, 0.5917, 0.1765], [0.5243, 0.4083, 0.8235], [0.5243, 0.6160, 0.7008], [0.5848, 0.1765, 0.2008], [0.5848, 0.9083, 0.3840], [0.5917, 0.1765, 0.4757], [0.5917, 0.9152, 0.1160], [0.6160, 0.4152, 0.0917], [0.6160, 0.7008, 0.5243], [0.6765, 0.0848, 0.7008], [0.6765, 0.0917, 0.9757], [0.7008, 0.5243, 0.6160], [0.7008, 0.6765, 0.0848], [0.7992, 0.4152, 0.8235], [0.7992, 0.8840, 0.9757], [0.8235, 0.5243, 0.4083], [0.8235, 0.7992, 0.4152], [0.8840, 0.4083, 0.0848], [0.8840, 0.9757, 0.7992], [0.9083, 0.0243, 0.3235], [0.9083, 0.3840, 0.5848], [0.9152, 0.1160, 0.5917], [0.9152, 0.2992, 0.3235], [0.9757, 0.6765, 0.0917], [0.9757, 0.7992, 0.8840], [0.1250, 0.2500, 0.3750], [0.1250, 0.3750, 0.7500], [0.2500, 0.3750, 0.1250], [0.2500, 0.8750, 0.6250], [0.3750, 0.1250, 0.2500], [0.3750, 0.7500, 0.1250], [0.6250, 0.2500, 0.8750], [0.6250, 0.8750, 0.7500], [0.7500, 0.1250, 0.3750], [0.7500, 0.6250, 0.8750], [0.8750, 0.6250, 0.2500], [0.8750, 0.7500, 0.6250], [0.0000, 0.0000, 0.0000], [0.0000, 0.0000, 0.5000], [0.0000, 0.5000, 0.0000], [0.0000, 0.5000, 0.5000], [0.1250, 0.7500, 0.8750], [0.1250, 0.8750, 0.2500], [0.2500, 0.1250, 0.8750], [0.2500, 0.6250, 0.3750], [0.3750, 0.2500, 0.6250], [0.3750, 0.6250, 0.7500], [0.5000, 0.0000, 0.0000], [0.5000, 0.0000, 0.5000], [0.5000, 0.5000, 0.0000], [0.5000, 0.5000, 0.5000], [0.6250, 0.3750, 0.2500], [0.6250, 0.7500, 0.3750], [0.7500, 0.3750, 0.6250], [0.7500, 0.8750, 0.1250], [0.8750, 0.1250, 0.7500], [0.8750, 0.2500, 0.1250]],
  "e_form_raw_mev_per_atom": -916,
  "e_tot_ev_per_atom": -3.337,
  "spacegroup": "Ia-3d, No. 230",
  "total_magnetization_mub_per_fu": 4.18,
  "dos_ef_per_ev_fu": 24.8
}